CeErTh2Bi5 | PBE-GGA | relaxed

abc: 5.3992 5.3992 11.8689
angles: 90.00 90.00 90.00
Last column: magnetic moment on the atom in μB.
Sites, in units of the cell vectors:
1 Er 0.0000 0.0000 0.5000  -0.01
2 Th 0.5000 0.5000 0.6946  -0.02
3 Th 0.5000 0.5000 0.3054  -0.02
4 Ce 0.0000 0.0000 0.0000  0.83
5 Bi 0.0000 0.0000 0.7494  -0.01
6 Bi 0.5000 0.5000 0.0000  -0.03
7 Bi 0.0000 0.5000 0.5000  0.00
8 Bi 0.0000 0.0000 0.2506  -0.01
9 Bi 0.5000 0.0000 0.5000  0.00

Computed properties:
- ΔE_f: 0.017 eV/atom

***

NaCaBRh2 | PBE-GGA | relaxed

abc: 4.2076 4.2076 4.6585
angles: 90.00 90.00 90.00
Sites, in units of the cell vectors:
1 Na 0.0000 0.0000 0.5000
2 B 0.0000 0.0000 0.0000
3 Ca 0.5000 0.5000 0.5000
4 Rh 0.0000 0.5000 0.0000
5 Rh 0.5000 0.0000 0.0000

Computed properties:
- ΔE_f: -0.209 eV/atom